[1]
This record from the Alexandria database describes an optimized crystal structure of AlW2. The functional is GGA-PBE.

Unit cell a=6.6511 b=6.6511 c=4.4540 alpha=90.00 beta=90.00 gamma=151.43
Positions (direct):
Al 0.0941 0.9059 0.2500
Al 0.9059 0.0941 0.7500
W 0.4282 0.5718 0.2500
W 0.5718 0.4282 0.7500
W 0.7650 0.2350 0.2500
W 0.2350 0.7650 0.7500

Results
* ρ: 13.91 Mg/m³
* DFT formation energy: 0.059 eV per atom
* space group: No. 63
* spin magnetization: 0.0 μB per formula unit

[2]
This record from the Alexandria database describes an optimized crystal structure of Al2W. The functional is GGA-PBE.

Unit cell a=5.0324 b=5.0324 c=8.0666 alpha=90.00 beta=90.00 gamma=120.00
Positions (direct):
Al 0.0000 0.0000 0.0000
Al 0.0000 0.0000 0.5000
Al 0.8278 0.6556 0.2500
Al 0.1722 0.3444 0.7500
Al 0.3444 0.1722 0.2500
Al 0.8278 0.1722 0.2500
Al 0.1722 0.8278 0.7500
Al 0.6556 0.8278 0.7500
W 0.3333 0.6667 0.0581
W 0.6667 0.3333 0.5581
W 0.6667 0.3333 0.9419
W 0.3333 0.6667 0.4419

Results
* ρ: 8.93 Mg/m³
* DFT formation energy: 0.120 eV per atom
* space group: No. 194
* spin magnetization: 0.0 μB per formula unit

[3]
This record from the Alexandria database describes an optimized crystal structure of AlW. The functional is GGA-PBE.

Unit cell a=4.5850 b=5.5426 c=9.8249 alpha=90.00 beta=90.00 gamma=90.00
Positions (direct):
Al 0.2558 0.7664 0.5774
Al 0.7558 0.7336 0.4226
Al 0.7442 0.2664 0.9226
Al 0.2442 0.2336 0.0774
Al 0.2489 0.4908 0.3362
Al 0.7489 0.0092 0.6638
Al 0.7511 0.9908 0.1638
Al 0.2511 0.5092 0.8362
W 0.7571 0.2270 0.4090
W 0.2571 0.2730 0.5910
W 0.2429 0.7270 0.0910
W 0.7429 0.7730 0.9090
W 0.2600 0.9940 0.3278
W 0.7600 0.5060 0.6722
W 0.7400 0.4940 0.1722
W 0.2400 0.0060 0.8278

Results
* ρ: 11.22 Mg/m³
* DFT formation energy: 0.036 eV per atom
* space group: No. 19
* spin magnetization: 0.0 μB per formula unit

[4]
This record from the Alexandria database describes an optimized crystal structure of AlW. The functional is GGA-PBE.

Unit cell a=8.1405 b=8.1405 c=4.4529 alpha=90.00 beta=90.00 gamma=120.00
Positions (direct):
Al 0.7871 0.5742 0.2500
Al 0.2129 0.7871 0.7500
Al 0.4258 0.2129 0.2500
Al 0.2129 0.4258 0.7500
Al 0.7871 0.2129 0.2500
Al 0.5742 0.7871 0.7500
W 0.4441 0.8881 0.2500
W 0.5559 0.4441 0.7500
W 0.1119 0.5559 0.2500
W 0.5559 0.1119 0.7500
W 0.4441 0.5559 0.2500
W 0.8881 0.4441 0.7500

Results
* ρ: 8.22 Mg/m³
* DFT formation energy: 0.264 eV per atom
* space group: No. 194
* spin magnetization: 0.0 μB per formula unit